(1)
Here is a relaxed structure of Ac2CdGa4Rh3 from Alexandria via LeMat-Bulk. Energies are from PBE.

Calculated values
E_tot (eV per cell): -49.65
DOS at the Fermi energy (states/eV/atom): 0.848

a b c (Å): 4.3883 4.3883 10.8702
angles (deg): 90.00 90.00 90.00
Fractional coordinates of all 10 atoms:
Rh (0.0000, 0.5000, 0.1228)
Rh (0.5000, 0.0000, 0.8772)
Rh (0.0000, 0.0000, 0.5000)
Ac (0.5000, 0.0000, 0.2407)
Ac (0.0000, 0.5000, 0.7593)
Ga (0.5000, 0.0000, 0.6401)
Ga (0.0000, 0.5000, 0.3599)
Ga (0.0000, 0.0000, 0.0000)
Ga (0.5000, 0.5000, 0.0000)
Cd (0.5000, 0.5000, 0.5000)


(2)
Here is a relaxed structure of Y2Be3ZnAu4 from Alexandria via LeMat-Bulk. Energies are from PBE.

Calculated values
E_tot (eV per cell): -43.21
DOS at the Fermi energy (states/eV/atom): 0.595

a b c (Å): 4.3127 4.3127 9.3729
angles (deg): 90.00 90.00 90.00
Fractional coordinates of all 10 atoms:
Au (0.5000, 0.0000, 0.6439)
Au (0.5000, 0.5000, 0.0000)
Au (0.0000, 0.0000, 0.0000)
Au (0.0000, 0.5000, 0.3561)
Y (0.5000, 0.0000, 0.2510)
Y (0.0000, 0.5000, 0.7490)
Be (0.5000, 0.0000, 0.8884)
Be (0.0000, 0.5000, 0.1116)
Be (0.0000, 0.0000, 0.5000)
Zn (0.5000, 0.5000, 0.5000)


(3)
Here is a relaxed structure of Sr5InAu2 from Alexandria via LeMat-Bulk. Energies are from PBE.

Calculated values
E_tot (eV per cell): -44.41
DOS at the Fermi energy (states/eV/atom): 0.596

a b c (Å): 8.5576 8.5576 9.8620
angles (deg): 115.71 115.71 90.00
Fractional coordinates of all 16 atoms:
Sr (0.6919, 0.1919, 0.7203)
Sr (0.0284, 0.5284, 0.7203)
Sr (0.3081, 0.8081, 0.2797)
Sr (0.5284, 0.6919, 0.7203)
Sr (0.5000, 0.5000, 0.0000)
Sr (0.0000, 0.0000, 0.0000)
Sr (0.1919, 0.0284, 0.7203)
Sr (0.9716, 0.4716, 0.2797)
Sr (0.4716, 0.3081, 0.2797)
Sr (0.8081, 0.9716, 0.2797)
In (0.7500, 0.7500, 0.5000)
In (0.2500, 0.2500, 0.5000)
Au (0.6268, 0.1268, 0.0000)
Au (0.1268, 0.3732, 0.0000)
Au (0.8732, 0.6268, 0.0000)
Au (0.3732, 0.8732, 0.0000)


(4)
Here is a relaxed structure of Mn2HgSb from Alexandria via LeMat-Bulk. Energies are from PBE.

Calculated values
E above lowest polymorph (meV/atom): 85
Energy relative to the elements, uncorrected (meV/atom): 331
E_tot (eV per cell): -21.44
DOS at the Fermi energy (states/eV/atom): 0.963

a b c (Å): 4.9942 4.9942 4.9942
angles (deg): 128.22 128.22 76.27
Last column: magnetic moment on the atom in μB.
Fractional coordinates of all 4 atoms:
Mn (0.0000, 0.0000, 0.0000)  3.52
Mn (0.5000, 0.5000, 0.0000)  3.52
Hg (0.7500, 0.2500, 0.5000)  -0.04
Sb (0.2500, 0.7500, 0.5000)  -0.06


(5)
Here is a relaxed structure of InIr2O from Alexandria via LeMat-Bulk. Energies are from PBE.

Calculated values
E above lowest polymorph (meV/atom): 611
Energy relative to the elements, uncorrected (meV/atom): 798
E_tot (eV per cell): -22.23
DOS at the Fermi energy (states/eV/atom): 1.420

a b c (Å): 4.3776 4.3776 4.3776
angles (deg): 60.00 60.00 60.00
Fractional coordinates of all 4 atoms:
O (0.0000, 0.0000, 0.0000)
Ir (0.2500, 0.2500, 0.2500)
Ir (0.7500, 0.7500, 0.7500)
In (0.5000, 0.5000, 0.5000)


(6)
Here is a relaxed structure of Dy3SiI3 from Alexandria via LeMat-Bulk. Energies are from PBE.

Calculated values
Energy relative to the elements, uncorrected (meV/atom): -1097
E_tot (eV per cell): -63.12
DOS at the Fermi energy (states/eV/atom): 0.257

a b c (Å): 4.2232 8.8403 12.1920
angles (deg): 90.68 90.00 90.00
Fractional coordinates of all 14 atoms:
I (0.7500, 0.6296, 0.1248)
I (0.7500, 0.1343, 0.1194)
I (0.2500, 0.3852, 0.3683)
I (0.2500, 0.8657, 0.8806)
I (0.7500, 0.6148, 0.6317)
I (0.2500, 0.3704, 0.8752)
Dy (0.7500, 0.0965, 0.3862)
Dy (0.7500, 0.6824, 0.3786)
Dy (0.2500, 0.3176, 0.6214)
Dy (0.2500, 0.9035, 0.6138)
Dy (0.2500, 0.8815, 0.1621)
Dy (0.7500, 0.1185, 0.8379)
Si (0.2500, 0.8843, 0.3832)
Si (0.7500, 0.1157, 0.6168)